# 1
First-principles (PBE-GGA) data for a geometry-optimized Tb2UPbO8 structure, as listed in Alexandria via LeMat-Bulk.

Summary:
energy	-8.079	eV per atom
size of the total moment	0.00	μB per formula unit
formation energy from raw total energies	-2752.4	meV per atom

a b c (Å): 3.750 5.388 7.894
angles (deg): 95.14 89.98 90.19
Positions (direct):
O 0.498 0.249 0.475
O 0.502 0.751 0.525
O 0.001 0.776 0.255
O 0.999 0.224 0.745
O 0.498 0.229 0.981
O 0.998 0.257 0.203
O 0.502 0.771 0.019
O 0.002 0.743 0.797
U 0.000 0.000 0.000
Tb 0.500 0.513 0.252
Tb 0.500 0.487 0.748
Pb 0.000 0.000 0.500

=====

# 2
First-principles (PBE-GGA) data for a geometry-optimized Nd11Zn4In9 structure, as listed in Alexandria via LeMat-Bulk.

Summary:
energy of formation	-0.440	eV/atom
energy	-3.864	eV per atom
DOS at the Fermi energy	22.34	states/eV/f.u.
size of the total moment	0.00	μB per formula unit

a b c (Å): 3.847 13.572 13.572
angles (deg): 112.66 90.00 90.00
Positions (direct):
Nd 0.000 0.700 0.700
Nd 0.000 0.935 0.588
Nd 0.000 0.412 0.065
Nd 0.000 0.588 0.935
Nd 0.000 0.632 0.368
Nd 0.000 0.368 0.632
Nd 0.000 0.000 0.000
Nd 0.000 0.065 0.412
Nd 0.000 0.162 0.838
Nd 0.000 0.300 0.300
Nd 0.000 0.838 0.162
Zn 0.500 0.550 0.749
Zn 0.500 0.749 0.550
Zn 0.500 0.450 0.251
Zn 0.500 0.251 0.450
In 0.500 0.368 0.840
In 0.500 0.632 0.160
In 0.500 0.783 0.928
In 0.500 0.217 0.072
In 0.500 0.928 0.783
In 0.500 0.500 0.500
In 0.500 0.160 0.632
In 0.500 0.072 0.217
In 0.500 0.840 0.368

=====

# 3
First-principles (PBE-GGA) data for a geometry-optimized KNiSe structure, as listed in Alexandria via LeMat-Bulk.

Summary:
energy	-2.744	eV per atom
DOS at the Fermi energy	4.04	states/eV/f.u.
size of the total moment	1.08	μB per formula unit
formation energy from raw total energies	710.1	meV per atom

a b c (Å): 4.928 4.928 4.928
angles (deg): 60.00 60.00 60.00
Positions (direct):
Se 0.500 0.500 0.500
Ni 0.000 0.000 0.000
K 0.750 0.750 0.750